DFT (PBE with a Hubbard U) results for a relaxed NaCoNO crystal.

POSCAR file:
```
NaCoNO
1.0
3.2141 0.0000 0.0000
0.0000 3.2141 0.0000
0.0000 0.0000 8.6701
N Na Co O
2 2 2 2
Cartesian
1.6071 0.0000 3.3672
0.0000 1.6071 5.3029
0.0000 1.6071 1.5832
1.6071 0.0000 7.0868
0.0000 0.0000 4.3350
1.6071 1.6071 4.3350
0.0000 0.0000 0.0000
1.6071 1.6071 0.0000
```

Calculated values
space-group type: P4/nmm
total energy: -37.8 eV per cell